No. 1
Density functional theory data (PBE) for MnSi2Os after structural relaxation.

Results
The calculation puts the raw formation energy at -120 meV/atom. For the spin magnetization, the calculation gives 5.70 μB per cell. The total energy is -7.9312 eV per atom.

The structure in CIF format:
```
data_MnSi2Os
_chemical_formula_sum 'Mn3 Si6 Os3'
_space_group_name_H-M_alt 'R -3 m'
_space_group_IT_number 166
_space_group_name_Hall '-R 3 2"'
_cell_length_a 2.7843
_cell_length_b 2.7843
_cell_length_c 23.0584
_cell_angle_alpha 90.00
_cell_angle_beta 90.00
_cell_angle_gamma 120.00
loop_
_atom_site_label
_atom_site_type_symbol
_atom_site_fract_x
_atom_site_fract_y
_atom_site_fract_z
Mn1 Mn 0.0000 0.0000 0.0000
Si1 Si 0.0000 0.0000 0.2521
Os1 Os 0.0000 0.0000 0.5000
```

=====

No. 2
Density functional theory data (PBE) for Mn2SiOs after structural relaxation.

Results
The calculation puts the raw formation energy at 439 meV/atom. For the spin magnetization, the calculation gives 18.28 μB per cell. The total energy is -8.3091 eV per atom.

The structure in CIF format:
```
data_Mn2SiOs
_chemical_formula_sum 'Mn8 Si4 Os4'
_space_group_name_H-M_alt 'I -4 2 d'
_space_group_IT_number 122
_space_group_name_Hall 'I -4 2bw'
_cell_length_a 6.628
_cell_length_b 6.628
_cell_length_c 5.056
_cell_angle_alpha 90.00
_cell_angle_beta 90.00
_cell_angle_gamma 90.00
loop_
_atom_site_label
_atom_site_type_symbol
_atom_site_fract_x
_atom_site_fract_y
_atom_site_fract_z
Mn1 Mn 0.240 0.250 0.125
Si1 Si 0.000 0.000 0.000
Os1 Os 0.000 0.000 0.500
```

=====

No. 3
Density functional theory data (PBE) for Mn2SiOs after structural relaxation.

Results
The calculation puts the raw formation energy at -220 meV/atom. For the spin magnetization, the calculation gives 2.00 μB per cell. The total energy is -8.9675 eV per atom.

The structure in CIF format:
```
data_Mn2SiOs
_chemical_formula_sum 'Mn2 Si1 Os1'
_space_group_name_H-M_alt 'P m m m'
_space_group_IT_number 47
_cell_length_a 2.928
_cell_length_b 4.067
_cell_length_c 4.163
_cell_angle_alpha 90.00
_cell_angle_beta 90.00
_cell_angle_gamma 90.00
loop_
_space_group_symop_operation_xyz
'x,y,z'
'-x,-y,-z'
'-x,-y,z'
'x,y,-z'
'x,-y,-z'
'-x,y,z'
'-x,y,-z'
'x,-y,z'
loop_
_atom_site_label
_atom_site_type_symbol
_atom_site_fract_x
_atom_site_fract_y
_atom_site_fract_z
Mn1 Mn 0.000 0.000 0.000
Mn2 Mn 0.500 0.500 0.000
Si1 Si 0.000 0.500 0.500
Os1 Os 0.500 0.000 0.500
```

=====

Number 3 is which compound? Mn2SiOs

=====

raw formation energy of number 2 (Mn2SiOs)? 439 meV/atom

=====

Among the records above, which one has the highest raw formation energy? number 2